(1)
# Sm2Y3Er4

A relaxed Sm2Y3Er4 crystal (PBE, the Alexandria database).

Output
- VASP energy: -184.8 eV/cell
- DFT formation energy: 0.099 eV per atom
- Crystal system: monoclinic
- Calculated volume: 286.3 Å³/f.u.

a = 16.6630 Å, b = 11.5820 Å, c = 5.9785 Å
α = 90.00°, β = 97.00°, γ = 90.00°
Space group C2/c (No. 15)
Asymmetric unit:
Sm1 0.1051 0.1125 0.2798 x8
Y1 0.0000 0.1511 0.7500 x4
Y2 0.1647 0.3484 0.5860 x8
Er1 0.0617 0.3929 0.0454 x8
Er2 0.2322 0.1083 0.8749 x8

(2)
# SmY12Er6

A relaxed SmY12Er6 crystal (PBE, the Alexandria database).

Output
- VASP energy: -320.3 eV/cell
- DFT formation energy: 0.152 eV per atom
- Crystal system: trigonal
- Calculated volume: 620.7 Å³/f.u.

a = 11.8526 Å, b = 11.8526 Å, c = 15.3056 Å
α = 90.00°, β = 90.00°, γ = 120.00°
Space group R-3 (No. 148, hexagonal axes)
Asymmetric unit:
Sm1 0.0000 0.0000 0.0000 x3
Y1 0.0126 0.8317 0.1907 x18
Y2 0.0420 0.8505 0.4150 x18
Er1 0.0118 0.4247 0.6804 x18

(3)
# Sm2Y6Er5

A relaxed Sm2Y6Er5 crystal (PBE, the Alexandria database).

Output
- VASP energy: -139.4 eV/cell
- DFT formation energy: 0.102 eV per atom
- Crystal system: orthorhombic
- Calculated volume: 422.0 Å³/f.u.

a = 11.6888 Å, b = 20.1747 Å, c = 3.5792 Å
α = 90.00°, β = 90.00°, γ = 90.00°
Space group Pbam (No. 55)
Asymmetric unit:
Sm1 0.1648 0.2124 0.0000 x4
Y1 0.0570 0.9199 0.0000 x4
Y2 0.0845 0.6316 0.0000 x4
Y3 0.1750 0.3697 0.5000 x4
Er1 0.0000 0.5000 0.5000 x2
Er2 0.0934 0.7745 0.5000 x4
Er3 0.1991 0.0491 0.5000 x4

(4)
# Sm3Y8Er4

A relaxed Sm3Y8Er4 crystal (PBE, the Alexandria database).

Output
- VASP energy: -156.2 eV/cell
- DFT formation energy: 0.401 eV per atom
- Crystal system: monoclinic
- Calculated volume: 502.2 Å³/f.u.

a = 13.4406 Å, b = 12.8065 Å, c = 6.7424 Å
α = 90.00°, β = 120.07°, γ = 90.00°
Space group C2/m (No. 12)
Asymmetric unit:
Sm1 0.0000 0.0000 0.0000 x2
Sm2 0.2500 0.2500 0.0000 x4
Y1 0.0000 0.1439 0.5000 x4
Y2 0.0000 0.2498 0.0000 x4
Y3 0.2298 0.0000 0.9518 x4
Y4 0.2422 0.0000 0.4843 x4
Er1 0.0000 0.5000 0.0000 x2
Er2 0.0000 0.5000 0.5000 x2
Er3 0.2500 0.2500 0.5000 x4

(5)
# Sm4Y3Er4

A relaxed Sm4Y3Er4 crystal (PBE, the Alexandria database).

Output
- VASP energy: -112.6 eV/cell
- DFT formation energy: 0.020 eV per atom
- Crystal system: monoclinic
- Calculated volume: 353.4 Å³/f.u.

a = 39.5949 Å, b = 3.5690 Å, c = 5.0426 Å
α = 90.00°, β = 97.31°, γ = 90.00°
Space group C2/m (No. 12)
Asymmetric unit:
Sm1 0.0460 0.0000 0.0456 x4
Sm2 0.1825 0.5000 0.6822 x4
Y1 0.0000 0.5000 0.5000 x2
Y2 0.1364 0.0000 0.1360 x4
Er1 0.0914 0.5000 0.5908 x4
Er2 0.2277 0.0000 0.2276 x4

(6)
# Sm4Y2Er5

A relaxed Sm4Y2Er5 crystal (PBE, the Alexandria database).

Output
- VASP energy: -105.9 eV/cell
- DFT formation energy: 0.150 eV per atom
- Crystal system: monoclinic
- Calculated volume: 357.7 Å³/f.u.

a = 23.8293 Å, b = 3.4744 Å, c = 8.7147 Å
α = 90.00°, β = 97.45°, γ = 90.00°
Space group C2/m (No. 12)
Asymmetric unit:
Sm1 0.0463 0.0000 0.3575 x4
Sm2 0.1782 0.5000 0.4694 x4
Y1 0.0904 0.0000 0.7402 x4
Er1 0.0000 0.5000 0.0000 x2
Er2 0.1413 0.0000 0.1153 x4
Er3 0.2322 0.0000 0.8278 x4

(7)
# Sm6YEr6

A relaxed Sm6YEr6 crystal (PBE, the Alexandria database).

Output
- VASP energy: -58.7 eV/cell
- DFT formation energy: 0.267 eV per atom
- Crystal system: hexagonal
- Calculated volume: 441.5 Å³/f.u.

a = 6.7025 Å, b = 6.7025 Å, c = 11.3459 Å
α = 90.00°, β = 90.00°, γ = 120.00°
Space group P6/mmm (No. 191)
Asymmetric unit:
Sm1 0.0000 0.0000 0.1575 x2
Sm2 0.3333 0.6667 0.0000 x2
Sm3 0.3333 0.6667 0.5000 x2
Y1 0.0000 0.0000 0.5000 x1
Er1 0.0000 0.5000 0.2554 x6

(8)
# SmY3Er4

A relaxed SmY3Er4 crystal (PBE, the Alexandria database).

Output
- VASP energy: -81.9 eV/cell
- DFT formation energy: 0.175 eV per atom
- Crystal system: monoclinic
- Calculated volume: 259.1 Å³/f.u.

a = 23.4824 Å, b = 3.4573 Å, c = 6.6549 Å
α = 90.00°, β = 106.44°, γ = 90.00°
Space group C2/m (No. 12)
Asymmetric unit:
Sm1 0.0000 0.0000 0.0000 x2
Y1 0.0000 0.5000 0.5000 x2
Y2 0.1269 0.5000 0.3726 x4
Er1 0.1257 0.5000 0.8826 x4
Er2 0.2396 0.0000 0.2344 x4

(9)
# Sm2Y6Er

A relaxed Sm2Y6Er crystal (PBE, the Alexandria database).

Output
- VASP energy: -208.6 eV/cell
- DFT formation energy: 0.070 eV per atom
- Crystal system: orthorhombic
- Calculated volume: 290.8 Å³/f.u.

a = 9.6893 Å, b = 17.3167 Å, c = 6.9319 Å
α = 90.00°, β = 90.00°, γ = 90.00°
Space group Ibam (No. 72)
Asymmetric unit:
Sm1 0.0000 0.1674 0.2500 x8
Y1 0.1649 0.3235 0.0000 x8
Y2 0.1688 0.0124 0.5000 x8
Y3 0.1708 0.3457 0.5000 x8
Er1 0.0000 0.5000 0.2500 x4

(10)
# Sm4Y3Er

A relaxed Sm4Y3Er crystal (PBE, the Alexandria database).

Output
- VASP energy: -83.0 eV/cell
- DFT formation energy: 0.167 eV per atom
- Crystal system: monoclinic
- Calculated volume: 267.5 Å³/f.u.

a = 23.5887 Å, b = 3.4917 Å, c = 6.7750 Å
α = 90.00°, β = 106.50°, γ = 90.00°
Space group C2/m (No. 12)
Asymmetric unit:
Sm1 0.1238 0.0000 0.3689 x4
Sm2 0.2401 0.5000 0.2389 x4
Y1 0.0000 0.0000 0.5000 x2
Y2 0.1233 0.0000 0.8823 x4
Er1 0.0000 0.5000 0.0000 x2

(11)
# SmYEr2

A relaxed SmYEr2 crystal (PBE, the Alexandria database).

Output
- VASP energy: -40.5 eV/cell
- DFT formation energy: 0.011 eV per atom
- Crystal system: orthorhombic
- Calculated volume: 129.0 Å³/f.u.

a = 3.6353 Å, b = 11.3044 Å, c = 6.2757 Å
α = 90.00°, β = 90.00°, γ = 90.00°
Space group Imm2 (No. 44)
Asymmetric unit:
Sm1 0.0000 0.0000 0.0000 x2
Y1 0.0000 0.5000 0.9988 x2
Er1 0.0000 0.2497 0.6663 x4

(12)
# SmY5Er3

A relaxed SmY5Er3 crystal (PBE, the Alexandria database).

Output
- VASP energy: -192.5 eV/cell
- DFT formation energy: 0.288 eV per atom
- Crystal system: tetragonal
- Calculated volume: 289.2 Å³/f.u.

a = 8.6615 Å, b = 8.6615 Å, c = 15.4199 Å
α = 90.00°, β = 90.00°, γ = 90.00°
Space group I4/mcm (No. 140)
Asymmetric unit:
Sm1 0.0000 0.5000 0.2500 x4
Y1 0.0000 0.0000 0.0000 x4
Y2 0.2023 0.2977 0.1359 x16
Er1 0.0000 0.0000 0.2500 x4
Er2 0.1175 0.3825 0.5000 x8

(13)
# SmY2Er5

A relaxed SmY2Er5 crystal (PBE, the Alexandria database).

Output
- VASP energy: -80.5 eV/cell
- DFT formation energy: 0.024 eV per atom
- Crystal system: tetragonal
- Calculated volume: 250.1 Å³/f.u.

a = 7.0749 Å, b = 7.0749 Å, c = 9.9925 Å
α = 90.00°, β = 90.00°, γ = 90.00°
Space group I4/mmm (No. 139)
Asymmetric unit:
Sm1 0.0000 0.0000 0.0000 x2
Y1 0.0000 0.5000 0.0000 x4
Er1 0.0000 0.0000 0.5000 x2
Er2 0.2500 0.2500 0.2500 x8

(14)
# Sm3Y5Er3

A relaxed Sm3Y5Er3 crystal (PBE, the Alexandria database).

Output
- VASP energy: -56.3 eV/cell
- DFT formation energy: 0.347 eV per atom
- Crystal system: hexagonal
- Calculated volume: 370.9 Å³/f.u.

a = 11.1469 Å, b = 11.1469 Å, c = 3.4468 Å
α = 90.00°, β = 90.00°, γ = 120.00°
Space group P-62m (No. 189)
Asymmetric unit:
Sm1 0.0000 0.3407 0.0000 x3
Y1 0.0000 0.8380 0.0000 x3
Y2 0.3333 0.6667 0.0000 x2
Er1 0.0000 0.5920 0.5000 x3

(15)
# Sm7Y2Er3

A relaxed Sm7Y2Er3 crystal (PBE, the Alexandria database).

Output
- VASP energy: -58.6 eV/cell
- DFT formation energy: 0.091 eV per atom
- Crystal system: monoclinic
- Calculated volume: 396.5 Å³/f.u.

a = 5.8296 Å, b = 3.6041 Å, c = 18.9126 Å
α = 90.00°, β = 93.85°, γ = 90.00°
Space group P2/m (No. 10)
Asymmetric unit:
Sm1 0.0000 0.0000 0.0000 x1
Sm2 0.1782 0.5000 0.1819 x2
Sm3 0.2582 0.5000 0.5350 x2
Sm4 0.3246 0.0000 0.8562 x2
Y1 0.2946 0.5000 0.7029 x2
Er1 0.2178 0.0000 0.3686 x2
Er2 0.5000 0.5000 0.0000 x1

(16)
# SmY6Er

A relaxed SmY6Er crystal (PBE, the Alexandria database).

Output
- VASP energy: -42.4 eV/cell
- DFT formation energy: 0.711 eV per atom
- Crystal system: triclinic
- Calculated volume: 311.1 Å³/f.u.

a = 6.4381 Å, b = 6.4469 Å, c = 9.3548 Å
α = 70.92°, β = 70.40°, γ = 60.16°
Space group P-1 (No. 2)
Asymmetric unit:
Sm1 0.0000 0.0000 0.0000 x1
Y1 0.0633 0.4462 0.8061 x2
Y2 0.3203 0.9401 0.1943 x2
Y3 0.4504 0.6742 0.8096 x2
Er1 0.5000 0.5000 0.5000 x1

(17)
# Sm8Y6Er

A relaxed Sm8Y6Er crystal (PBE, the Alexandria database).

Output
- VASP energy: -238.1 eV/cell
- DFT formation energy: 0.116 eV per atom
- Crystal system: trigonal
- Calculated volume: 500.7 Å³/f.u.

a = 9.1272 Å, b = 9.1272 Å, c = 20.8228 Å
α = 90.00°, β = 90.00°, γ = 120.00°
Space group R-3 (No. 148, hexagonal axes)
Asymmetric unit:
Sm1 0.0000 0.0000 0.0771 x6
Sm2 0.0813 0.5566 0.3068 x18
Y1 0.0507 0.2457 0.2062 x18
Er1 0.0000 0.0000 0.5000 x3

(18)
# Sm4Y6Er19

A relaxed Sm4Y6Er19 crystal (PBE, the Alexandria database).

Output
- VASP energy: -265.9 eV/cell
- DFT formation energy: 0.392 eV per atom
- Crystal system: cubic
- Calculated volume: 956.6 Å³/f.u.

a = 12.4144 Å, b = 12.4144 Å, c = 12.4144 Å
α = 90.00°, β = 90.00°, γ = 90.00°
Space group I23 (No. 197)
Asymmetric unit:
Sm1 0.1796 0.1796 0.8204 x8
Y1 0.0000 0.3699 0.5000 x12
Er1 0.0000 0.0000 0.0000 x2
Er2 0.0000 0.0000 0.2608 x12
Er3 0.0636 0.2594 0.2755 x24

(19)
# Sm8Y2Er

A relaxed Sm8Y2Er crystal (PBE, the Alexandria database).

Output
- VASP energy: -106.8 eV/cell
- DFT formation energy: 0.167 eV per atom
- Crystal system: monoclinic
- Calculated volume: 372.9 Å³/f.u.

a = 16.6140 Å, b = 6.7761 Å, c = 6.7643 Å
α = 90.00°, β = 101.65°, γ = 90.00°
Space group C2/m (No. 12)
Asymmetric unit:
Sm1 0.0863 0.2353 0.4056 x8
Sm2 0.0924 0.0000 0.9183 x4
Sm3 0.1962 0.5000 0.7981 x4
Y1 0.2418 0.5000 0.3100 x4
Er1 0.0000 0.5000 0.0000 x2